No. 1
DFT (GGA-PBE) results for an optimized crystal structure of Ca2SmTe3.

Cell: 4.4620 6.3455 13.4947 Å, 90.00 90.00 90.00°
Fractional coordinates of all 12 atoms:
Ca  0.0000  0.0000  0.1674
Ca  0.0000  0.0000  0.8326
Ca  0.5000  0.5000  0.3326
Ca  0.5000  0.5000  0.6674
Sm  0.0000  0.0000  0.5000
Sm  0.5000  0.5000  0.0000
Te  0.0000  0.5000  0.1666
Te  0.0000  0.5000  0.5000
Te  0.0000  0.5000  0.8334
Te  0.5000  0.0000  0.0000
Te  0.5000  0.0000  0.3334
Te  0.5000  0.0000  0.6666

Results
**Symmetry**: Immm, No. 71
**Crystal system**: orthorhombic

No. 2
DFT (GGA-PBE) results for an optimized crystal structure of KAlZnSi2.

Cell: 5.6003 5.6003 5.8227 Å, 90.00 90.00 90.00°
Fractional coordinates of all 5 atoms:
K  0.0000  0.0000  0.0000
Al  0.0000  0.0000  0.5000
Zn  0.5000  0.5000  0.5000
Si  0.0000  0.5000  0.0000
Si  0.5000  0.0000  0.0000

Results
**Symmetry**: P4/mmm, No. 123
**Crystal system**: tetragonal

No. 3
DFT (GGA-PBE) results for an optimized crystal structure of LaBeZnPt6.

Cell: 7.8938 7.8938 7.8938 Å, 125.75 116.06 88.65°
Fractional coordinates of all 18 atoms:
La  0.4088  0.1588  0.2500
La  0.5912  0.8412  0.7500
Be  0.0000  0.5000  0.5000
Be  0.5000  0.5000  0.0000
Zn  0.0000  0.0000  0.5000
Zn  0.0000  0.5000  0.0000
Pt  0.1161  0.3772  0.2497
Pt  0.1161  0.8664  0.7390
Pt  0.1536  0.9036  0.2500
Pt  0.3383  0.5883  0.7500
Pt  0.3726  0.1336  0.7497
Pt  0.3726  0.6228  0.2390
Pt  0.6274  0.3772  0.7610
Pt  0.6274  0.8664  0.2503
Pt  0.6617  0.4117  0.2500
Pt  0.8464  0.0964  0.7500
Pt  0.8839  0.1336  0.2610
Pt  0.8839  0.6228  0.7503

Results
**Symmetry**: Imma, No. 74
**Crystal system**: orthorhombic
**E_form**: -0.414 eV/atom

Number 1: E_tot -4.5622 eV/atom, magnetic moment 0.000 μB/atom. Number 2: E_tot -1.4755 eV/atom, magnetic moment 0.000 μB/atom. Number 3: E_tot -5.5447 eV/atom, magnetic moment 0.000 μB/atom.